Record 1
! GGA-PBE ZrSc3Ru2, optimized geometry; values from VASP
&SYSTEM
  ibrav = 0, nat = 6, ntyp = 3
/
ATOMIC_SPECIES
Zr 91.22 Zr.upf
Sc 44.96 Sc.upf
Ru 101.07 Ru.upf
CELL_PARAMETERS angstrom
3.231 0.000 0.000
0.000 3.231 0.000
0.000 0.000 10.889
ATOMIC_POSITIONS crystal
Zr 0.500 0.500 0.500
Sc 0.000 0.000 0.286
Sc 0.000 0.000 0.000
Sc 0.000 0.000 0.714
Ru 0.500 0.500 0.151
Ru 0.500 0.500 0.849
! space-group type: P4/mmm, No. 123
! DFT total energy: -8.0931 eV per atom
! DFT formation energy: -0.41 eV per atom


Record 2
! GGA-PBE AlHgS2Cl, optimized geometry; values from VASP
&SYSTEM
  ibrav = 0, nat = 5, ntyp = 4
/
ATOMIC_SPECIES
S 32.06 S.upf
Al 26.98 Al.upf
Cl 35.45 Cl.upf
Hg 200.59 Hg.upf
CELL_PARAMETERS angstrom
-4.128 -2.295 -0.588
2.329 -4.148 -0.162
-0.419 -0.413 4.556
ATOMIC_POSITIONS crystal
S 0.500 0.000 0.000
S 0.000 0.500 0.000
Al 0.000 0.000 0.000
Cl 0.000 0.000 0.500
Hg 0.500 0.500 0.500
! distance to the lowest polymorph of the same formula: 0 meV per atom
! space-group type: P4/mmm, No. 123
! DFT total energy: -3.0871 eV per atom
! uncorrected formation energy: -0.26 eV/atom


Record 3
! GGA-PBE Ac2ZnSn, optimized geometry; values from VASP
&SYSTEM
  ibrav = 0, nat = 4, ntyp = 3
/
ATOMIC_SPECIES
Ac 227.00 Ac.upf
Sn 118.71 Sn.upf
Zn 65.41 Zn.upf
CELL_PARAMETERS angstrom
5.681 0.000 0.000
2.841 4.920 0.000
2.841 1.640 4.639
ATOMIC_POSITIONS crystal
Ac 0.500 0.500 0.500
Ac 0.000 0.000 0.000
Sn 0.750 0.750 0.750
Zn 0.250 0.250 0.250
! space-group type: Fm-3m, No. 225
! DFT total energy: -3.8136 eV per atom
! DFT formation energy: -0.44 eV per atom


Record 4
! GGA-PBE Li2MnRu, optimized geometry; values from VASP
&SYSTEM
  ibrav = 0, nat = 4, ntyp = 3
/
ATOMIC_SPECIES
Mn 54.94 Mn.upf
Li 6.94 Li.upf
Ru 101.07 Ru.upf
CELL_PARAMETERS angstrom
5.062 -0.077 0.000
2.724 4.267 0.000
-3.893 -2.095 2.466
ATOMIC_POSITIONS crystal
Mn 0.250 0.750 0.500
Li 0.000 0.000 0.000
Li 0.500 0.500 0.000
Ru 0.750 0.250 0.500
! distance to the lowest polymorph of the same formula: 63 meV per atom
! space-group type: I4/mmm, No. 139
! DFT total energy: -5.3234 eV per atom
! DFT formation energy: 0.24 eV per atom


Record 5
! GGA-PBE Rb2Ga2Te, optimized geometry; values from VASP
&SYSTEM
  ibrav = 0, nat = 10, ntyp = 3
/
ATOMIC_SPECIES
Te 127.60 Te.upf
Rb 85.47 Rb.upf
Ga 69.72 Ga.upf
CELL_PARAMETERS angstrom
7.843 0.000 0.000
0.000 7.843 0.000
0.000 0.000 5.797
ATOMIC_POSITIONS crystal
Te 0.000 0.000 0.000
Te 0.500 0.500 0.000
Rb 0.305 0.195 0.500
Rb 0.195 0.695 0.500
Rb 0.695 0.805 0.500
Rb 0.805 0.305 0.500
Ga 0.386 0.886 0.000
Ga 0.614 0.114 0.000
Ga 0.114 0.386 0.000
Ga 0.886 0.614 0.000
! space-group type: P4/mbm, No. 127
! DFT total energy: -2.4467 eV per atom
! uncorrected formation energy: -0.22 eV/atom


Record 6
! GGA-PBE La2SiCl, optimized geometry; values from VASP
&SYSTEM
  ibrav = 0, nat = 4, ntyp = 3
/
ATOMIC_SPECIES
Si 28.09 Si.upf
Cl 35.45 Cl.upf
La 138.91 La.upf
CELL_PARAMETERS angstrom
-1.043 2.463 -3.445
-4.092 0.022 -1.511
-3.252 6.136 2.618
ATOMIC_POSITIONS crystal
Si 0.750 0.750 0.750
Cl 0.250 0.250 0.250
La 0.494 0.494 0.519
La 0.006 0.006 0.981
! distance to the lowest polymorph of the same formula: 0 meV per atom
! space-group type: R-3m, No. 166
! DFT total energy: -5.5394 eV per atom
! uncorrected formation energy: -1.26 eV/atom


Record 7
! GGA-PBE Y3BiC, optimized geometry; values from VASP
&SYSTEM
  ibrav = 0, nat = 20, ntyp = 3
/
ATOMIC_SPECIES
Y 88.91 Y.upf
Bi 208.98 Bi.upf
C 12.01 C.upf
CELL_PARAMETERS angstrom
0.823 -1.543 9.055
-7.003 1.969 5.668
-4.776 -6.818 3.969
ATOMIC_POSITIONS crystal
Y 0.054 0.446 0.446
Y 0.446 0.446 0.054
Y 0.446 0.054 0.054
Y 0.054 0.446 0.054
Y 0.804 0.196 0.804
Y 0.196 0.804 0.804
Y 0.804 0.196 0.196
Y 0.446 0.054 0.446
Y 0.804 0.804 0.196
Y 0.196 0.804 0.196
Y 0.054 0.054 0.446
Y 0.196 0.196 0.804
Bi 0.625 0.625 0.625
Bi 0.125 0.625 0.625
Bi 0.625 0.625 0.125
Bi 0.625 0.125 0.625
C 0.125 0.125 0.125
C 0.125 0.125 0.625
C 0.125 0.625 0.125
C 0.625 0.125 0.125
! distance to the lowest polymorph of the same formula: 321 meV per atom
! space-group type: Fd-3m, No. 227
! DFT total energy: -6.7539 eV per atom
! DFT formation energy: -0.25 eV per atom


Record 8
! GGA-PBE Ac6Pm5Pr2, optimized geometry; values from VASP
&SYSTEM
  ibrav = 0, nat = 26, ntyp = 3
/
ATOMIC_SPECIES
Ac 227.00 Ac.upf
Pm 145.00 Pm.upf
Pr 140.91 Pr.upf
CELL_PARAMETERS angstrom
3.789 0.000 0.000
0.000 11.521 0.000
0.000 0.000 23.908
ATOMIC_POSITIONS crystal
Ac 0.000 0.355 0.885
Ac 0.500 0.165 0.632
Ac 0.000 0.522 0.389
Ac 0.500 0.335 0.132
Ac 0.000 0.978 0.889
Ac 0.500 0.835 0.368
Ac 0.000 0.478 0.611
Ac 0.000 0.145 0.385
Ac 0.000 0.022 0.111
Ac 0.000 0.645 0.115
Ac 0.000 0.855 0.615
Ac 0.500 0.665 0.868
Pm 0.500 0.912 0.752
Pm 0.500 0.333 0.495
Pm 0.500 0.000 0.500
Pm 0.500 0.500 0.000
Pm 0.500 0.412 0.748
Pm 0.500 0.667 0.505
Pm 0.500 0.588 0.252
Pm 0.500 0.833 0.005
Pm 0.500 0.167 0.995
Pm 0.500 0.088 0.248
Pr 0.000 0.163 0.769
Pr 0.000 0.663 0.731
Pr 0.000 0.837 0.231
Pr 0.000 0.337 0.269
! space-group type: Pbam, No. 55
! DFT total energy: -4.3145 eV per atom
! DFT formation energy: 0.14 eV per atom


Record 9
! GGA-PBE PrZnAu, optimized geometry; values from VASP
&SYSTEM
  ibrav = 0, nat = 6, ntyp = 3
/
ATOMIC_SPECIES
Pr 140.91 Pr.upf
Zn 65.41 Zn.upf
Au 196.97 Au.upf
CELL_PARAMETERS angstrom
-2.836 0.859 -3.595
-2.639 -4.766 -2.075
-5.703 0.623 1.630
ATOMIC_POSITIONS crystal
Pr 0.531 0.225 0.713
Pr 0.469 0.775 0.287
Zn 0.840 0.205 0.115
Zn 0.160 0.795 0.885
Au 0.823 0.643 0.711
Au 0.177 0.357 0.289
! space-group type: C2/m, No. 12
! DFT total energy: -3.7306 eV per atom
! DFT formation energy: -0.62 eV per atom


Record 10
! GGA-PBE Tb2PmPr4Y2, optimized geometry; values from VASP
&SYSTEM
  ibrav = 0, nat = 9, ntyp = 4
/
ATOMIC_SPECIES
Y 88.91 Y.upf
Pr 140.91 Pr.upf
Pm 145.00 Pm.upf
Tb 158.93 Tb.upf
CELL_PARAMETERS angstrom
-4.906 -1.145 1.062
4.598 -2.244 6.340
-1.655 7.913 0.886
ATOMIC_POSITIONS crystal
Y 0.889 0.777 0.331
Y 0.111 0.223 0.669
Pr 0.446 0.891 0.669
Pr 0.554 0.109 0.331
Pr 0.777 0.555 0.669
Pr 0.223 0.445 0.331
Pm 0.000 0.000 0.000
Tb 0.332 0.664 0.000
Tb 0.668 0.336 0.000
! space-group type: C2/m, No. 12
! DFT total energy: -5.1019 eV per atom
! DFT formation energy: 0.02 eV per atom


Record 11
! GGA-PBE Tm4IrPd, optimized geometry; values from VASP
&SYSTEM
  ibrav = 0, nat = 24, ntyp = 3
/
ATOMIC_SPECIES
Tm 168.93 Tm.upf
Pd 106.42 Pd.upf
Ir 192.22 Ir.upf
CELL_PARAMETERS angstrom
2.303 3.273 8.392
8.397 -1.815 3.554
6.291 6.802 0.771
ATOMIC_POSITIONS crystal
Tm 0.812 0.188 0.812
Tm 0.188 0.188 0.812
Tm 0.940 0.940 0.560
Tm 0.940 0.560 0.940
Tm 0.560 0.940 0.560
Tm 0.940 0.560 0.560
Tm 0.560 0.560 0.940
Tm 0.560 0.940 0.940
Tm 0.812 0.188 0.188
Tm 0.812 0.812 0.188
Tm 0.188 0.812 0.812
Tm 0.391 0.391 0.827
Tm 0.391 0.391 0.391
Tm 0.188 0.812 0.188
Tm 0.827 0.391 0.391
Tm 0.391 0.827 0.391
Pd 0.162 0.162 0.514
Pd 0.514 0.162 0.162
Pd 0.162 0.162 0.162
Pd 0.162 0.514 0.162
Ir 0.605 0.605 0.184
Ir 0.605 0.184 0.605
Ir 0.184 0.605 0.605
Ir 0.605 0.605 0.605
! distance to the lowest polymorph of the same formula: 0 meV per atom
! space-group type: F-43m, No. 216
! DFT total energy: -6.0230 eV per atom
! DFT formation energy: -0.70 eV per atom


Record 12
! GGA-PBE CaTaAs, optimized geometry; values from VASP
&SYSTEM
  ibrav = 0, nat = 3, ntyp = 3
/
ATOMIC_SPECIES
Ta 180.95 Ta.upf
Ca 40.08 Ca.upf
As 74.92 As.upf
CELL_PARAMETERS angstrom
4.577 0.000 0.000
2.289 3.964 0.000
2.289 1.321 3.737
ATOMIC_POSITIONS crystal
Ta 0.500 0.500 0.500
Ca 0.000 0.000 0.000
As 0.750 0.750 0.750
! distance to the lowest polymorph of the same formula: 811 meV per atom
! space-group type: F-43m, No. 216
! DFT total energy: -5.9927 eV per atom
! DFT formation energy: 0.18 eV per atom